No. 1
A plane-wave DFT calculation with PBE was carried out for an optimized crystal structure of DyUSn.

a = 7.272 Å, b = 7.272 Å, c = 7.272 Å
α = 90.00°, β = 90.00°, γ = 90.00°
Atoms (fractional coordinates):
Dy (0.000, 0.000, 0.000)
Dy (0.000, 0.500, 0.500)
Dy (0.500, 0.000, 0.500)
Dy (0.500, 0.500, 0.000)
U (0.000, 0.000, 0.500)
U (0.000, 0.500, 0.000)
U (0.500, 0.000, 0.000)
U (0.500, 0.500, 0.500)
Sn (0.250, 0.250, 0.250)
Sn (0.250, 0.750, 0.750)
Sn (0.750, 0.250, 0.750)
Sn (0.750, 0.750, 0.250)

## Properties
For the energy relative to the lowest polymorph listed for this composition, the calculation gives 0.000 eV per atom.

=====

No. 2
A plane-wave DFT calculation with PBE was carried out for an optimized crystal structure of GdMgZn.

a = 3.748 Å, b = 3.748 Å, c = 12.230 Å
α = 90.00°, β = 90.00°, γ = 120.00°
Atoms (fractional coordinates):
Gd (0.000, 0.000, 0.000)
Gd (0.333, 0.667, 0.778)
Mg (0.000, 0.000, 0.578)
Mg (0.333, 0.667, 0.202)
Zn (0.333, 0.667, 0.445)
Zn (0.667, 0.333, 0.340)

=====

No. 3
A plane-wave DFT calculation with PBE was carried out for an optimized crystal structure of LiGa2Ir.

a = 8.440 Å, b = 6.268 Å, c = 4.242 Å
α = 90.00°, β = 90.00°, γ = 90.00°
Atoms (fractional coordinates):
Li (0.126, 0.250, 0.240)
Li (0.374, 0.750, 0.740)
Li (0.626, 0.250, 0.260)
Li (0.874, 0.750, 0.760)
Ga (0.125, 0.501, 0.741)
Ga (0.125, 0.999, 0.741)
Ga (0.375, 0.001, 0.241)
Ga (0.375, 0.499, 0.241)
Ga (0.625, 0.501, 0.759)
Ga (0.625, 0.999, 0.759)
Ga (0.875, 0.001, 0.259)
Ga (0.875, 0.499, 0.259)
Ir (0.125, 0.750, 0.238)
Ir (0.375, 0.250, 0.738)
Ir (0.625, 0.750, 0.262)
Ir (0.875, 0.250, 0.762)

## Properties
For the energy relative to the lowest polymorph listed for this composition, the calculation gives 0.003 eV per atom.

=====

No. 4
A plane-wave DFT calculation with PBE was carried out for an optimized crystal structure of B3AsW4.

a = 3.188 Å, b = 3.188 Å, c = 22.748 Å
α = 90.00°, β = 90.00°, γ = 120.00°
Atoms (fractional coordinates):
B (0.000, 0.000, 0.000)
B (0.000, 0.000, 0.500)
B (0.333, 0.667, 0.114)
B (0.333, 0.667, 0.386)
B (0.667, 0.333, 0.614)
B (0.667, 0.333, 0.886)
As (0.333, 0.667, 0.750)
As (0.667, 0.333, 0.250)
W (0.000, 0.000, 0.165)
W (0.000, 0.000, 0.335)
W (0.000, 0.000, 0.665)
W (0.000, 0.000, 0.835)
W (0.333, 0.667, 0.559)
W (0.333, 0.667, 0.941)
W (0.667, 0.333, 0.059)
W (0.667, 0.333, 0.441)

=====

No. 5
A plane-wave DFT calculation with PBE was carried out for an optimized crystal structure of Sc4Ta2Zn3N3.

a = 5.518 Å, b = 5.518 Å, c = 14.147 Å
α = 101.53°, β = 101.53°, γ = 60.15°
Atoms (fractional coordinates):
Sc (0.036, 0.193, 0.094)
Sc (0.128, 0.304, 0.406)
Sc (0.193, 0.036, 0.594)
Sc (0.304, 0.128, 0.906)
Sc (0.696, 0.872, 0.094)
Sc (0.807, 0.964, 0.406)
Sc (0.872, 0.696, 0.594)
Sc (0.964, 0.807, 0.906)
Ta (0.355, 0.526, 0.077)
Ta (0.474, 0.645, 0.423)
Ta (0.526, 0.355, 0.577)
Ta (0.645, 0.474, 0.923)
Zn (0.139, 0.861, 0.250)
Zn (0.308, 0.415, 0.751)
Zn (0.415, 0.308, 0.251)
Zn (0.585, 0.692, 0.749)
Zn (0.692, 0.585, 0.249)
Zn (0.861, 0.139, 0.750)
N (0.000, 0.500, 0.000)
N (0.165, 0.668, 0.500)
N (0.332, 0.835, 0.000)
N (0.500, 0.000, 0.500)
N (0.668, 0.165, 0.000)
N (0.835, 0.332, 0.500)

=====

No. 6
A plane-wave DFT calculation with PBE was carried out for an optimized crystal structure of ZrGaCoPd.

a = 6.344 Å, b = 6.344 Å, c = 6.344 Å
α = 90.00°, β = 90.00°, γ = 90.00°
Atoms (fractional coordinates):
Zr (0.000, 0.000, 0.000)
Zr (0.000, 0.500, 0.500)
Zr (0.500, 0.000, 0.500)
Zr (0.500, 0.500, 0.000)
Ga (0.250, 0.250, 0.250)
Ga (0.250, 0.750, 0.750)
Ga (0.750, 0.250, 0.750)
Ga (0.750, 0.750, 0.250)
Co (0.000, 0.000, 0.500)
Co (0.000, 0.500, 0.000)
Co (0.500, 0.000, 0.000)
Co (0.500, 0.500, 0.500)
Pd (0.250, 0.250, 0.750)
Pd (0.250, 0.750, 0.250)
Pd (0.750, 0.250, 0.250)
Pd (0.750, 0.750, 0.750)

## Properties
For the energy relative to the lowest polymorph listed for this composition, the calculation gives 0.236 eV per atom.

=====

No. 7
A plane-wave DFT calculation with PBE was carried out for an optimized crystal structure of CsEr6I12N.

a = 9.452 Å, b = 9.452 Å, c = 9.452 Å
α = 72.62°, β = 72.62°, γ = 72.62°
Atoms (fractional coordinates):
Cs (0.000, 0.000, 0.000)
Er (0.237, 0.469, 0.586)
Er (0.414, 0.763, 0.531)
Er (0.469, 0.586, 0.237)
Er (0.531, 0.414, 0.763)
Er (0.586, 0.237, 0.469)
Er (0.763, 0.531, 0.414)
I (0.081, 0.779, 0.645)
I (0.139, 0.568, 0.286)
I (0.221, 0.355, 0.919)
I (0.286, 0.139, 0.568)
I (0.355, 0.919, 0.221)
I (0.432, 0.714, 0.861)
I (0.568, 0.286, 0.139)
I (0.645, 0.081, 0.779)
I (0.714, 0.861, 0.432)
I (0.779, 0.645, 0.081)
I (0.861, 0.432, 0.714)
I (0.919, 0.221, 0.355)
N (0.500, 0.500, 0.500)

=====

No. 8
A plane-wave DFT calculation with PBE was carried out for an optimized crystal structure of HoLuGe2Au2.

a = 4.456 Å, b = 4.456 Å, c = 7.222 Å
α = 90.00°, β = 90.00°, γ = 120.00°
Atoms (fractional coordinates):
Ho (0.000, 0.000, 0.000)
Lu (0.000, 0.000, 0.499)
Ge (0.333, 0.667, 0.704)
Ge (0.667, 0.333, 0.208)
Au (0.333, 0.667, 0.300)
Au (0.667, 0.333, 0.792)

=====

no.,calculated total energy (eV/atom)
1,-6.301
2,-2.361
3,-4.699
4,-9.675
5,-7.423
6,-6.234
7,-4.054
8,-4.951